CrCoF5 | PBE+U | optimized geometry

The structure in POSCAR format:
```
CrCoF5
1.0
4.286 -3.210 0.000
4.286 3.210 0.000
-1.641 0.000 3.413
Cr Co F
1 1 5
direct
0.000 0.000 0.000
0.500 0.500 0.500
0.000 0.000 0.500
0.251 0.251 0.246
0.305 0.695 0.000
0.695 0.305 0.000
0.749 0.749 0.754
```

Properties
VASP energy: -38.8 eV/cell
DOS(E_F): 0.00 states/eV/f.u.
SG: C2/m, No. 12
ρ: 3.64 g cm⁻³
crystal system: monoclinic